Record 1
A geometry-optimized Zn2GaCu9 structure, computed with PBE-GGA.

Total energy: -0.1326 Ha/atom
Formation energy from the elements: -72 meV per atom
D(E_F): 4.626 states/eV per cell

```
data_Zn2GaCu9
_cell_length_a 3.6765
_cell_length_b 3.6765
_cell_length_c 11.0934
_cell_angle_alpha 90.00
_cell_angle_beta 90.00
_cell_angle_gamma 90.00
_symmetry_space_group_name_H-M 'P 4/m m m'
_symmetry_Int_Tables_number 123
_symmetry_space_group_name_Hall '-P 4 2'
loop_
_atom_site_label
_atom_site_type_symbol
_atom_site_fract_x
_atom_site_fract_y
_atom_site_fract_z
Zn1 Zn 0.0000 0.0000 0.1665
Ga1 Ga 0.0000 0.0000 0.5000
Cu1 Cu 0.0000 0.5000 0.0000
Cu2 Cu 0.0000 0.5000 0.3331
Cu3 Cu 0.5000 0.5000 0.1666
Cu4 Cu 0.5000 0.5000 0.5000
```

Record 2
A geometry-optimized ZnGa2Cu structure, computed with PBE-GGA.

Total energy: -0.0997 Ha/atom
Formation energy from the elements: 143 meV per atom
D(E_F): 4.128 states/eV per cell

```
data_ZnGa2Cu
_cell_length_a 3.5676
_cell_length_b 3.5676
_cell_length_c 19.0931
_cell_angle_alpha 90.00
_cell_angle_beta 90.00
_cell_angle_gamma 120.00
_symmetry_space_group_name_H-M 'R 3 m'
_symmetry_Int_Tables_number 160
_symmetry_space_group_name_Hall 'R 3 -2"'
loop_
_atom_site_label
_atom_site_type_symbol
_atom_site_fract_x
_atom_site_fract_y
_atom_site_fract_z
Zn1 Zn 0.0000 0.0000 0.0000
Ga1 Ga 0.0000 0.0000 0.5750
Ga2 Ga 0.0000 0.0000 0.7553
Cu1 Cu 0.0000 0.0000 0.1627
```

Record 3
A geometry-optimized Zn6GaCu8 structure, computed with PBE-GGA.

Total energy: -0.1057 Ha/atom
Formation energy from the elements: 20 meV per atom
D(E_F): 12.739 states/eV per cell

```
data_Zn6GaCu8
_cell_length_a 6.7224
_cell_length_b 6.7224
_cell_length_c 16.0862
_cell_angle_alpha 90.00
_cell_angle_beta 90.00
_cell_angle_gamma 120.00
_symmetry_space_group_name_H-M 'R -3'
_symmetry_Int_Tables_number 148
_symmetry_space_group_name_Hall '-R 3'
loop_
_atom_site_label
_atom_site_type_symbol
_atom_site_fract_x
_atom_site_fract_y
_atom_site_fract_z
Zn1 Zn 0.0420 0.7934 0.3980
Ga1 Ga 0.0000 0.0000 0.0000
Cu1 Cu 0.0000 0.0000 0.2590
Cu2 Cu 0.0045 0.7745 0.8765
```

Record 4
A geometry-optimized Zn2Ga2Cu5 structure, computed with PBE-GGA.

Total energy: -0.1168 Ha/atom
Formation energy from the elements: 54 meV per atom
D(E_F): 9.633 states/eV per cell

```
data_Zn2Ga2Cu5
_cell_length_a 15.6157
_cell_length_b 6.6327
_cell_length_c 4.9935
_cell_angle_alpha 90.00
_cell_angle_beta 90.00
_cell_angle_gamma 90.00
_symmetry_space_group_name_H-M 'I m a 2'
_symmetry_Int_Tables_number 46
loop_
_symmetry_equiv_pos_as_xyz
'x,y,z'
'-x,-y,z'
'-x+1/2,y,z'
'x+1/2,-y,z'
'x+1/2,y+1/2,z+1/2'
'-x+1/2,-y+1/2,z+1/2'
'-x,y+1/2,z+1/2'
'x,-y+1/2,z+1/2'
loop_
_atom_site_label
_atom_site_type_symbol
_atom_site_fract_x
_atom_site_fract_y
_atom_site_fract_z
Zn1 Zn 0.0699 0.0726 0.0000
Ga1 Ga 0.0000 0.0000 0.5000
Ga2 Ga 0.2500 0.5608 0.0003
Cu1 Cu 0.1171 0.7500 0.2498
Cu2 Cu 0.1755 0.2494 0.2509
Cu3 Cu 0.2500 0.5535 0.5001
```

Record 5
A geometry-optimized Zn7GaCu3 structure, computed with PBE-GGA.

Total energy: -0.0796 Ha/atom
Formation energy from the elements: 37 meV per atom
D(E_F): 3.536 states/eV per cell

```
data_Zn7GaCu3
_cell_length_a 5.4438
_cell_length_b 5.4438
_cell_length_c 6.4185
_cell_angle_alpha 90.00
_cell_angle_beta 90.00
_cell_angle_gamma 120.00
_symmetry_space_group_name_H-M 'P 3 m 1'
_symmetry_Int_Tables_number 156
loop_
_symmetry_equiv_pos_as_xyz
'x,y,z'
'-y,x-y,z'
'-x+y,-x,z'
'-y,-x,z'
'-x+y,y,z'
'x,x-y,z'
loop_
_atom_site_label
_atom_site_type_symbol
_atom_site_fract_x
_atom_site_fract_y
_atom_site_fract_z
Zn1 Zn 0.0000 0.0000 0.0000
Zn2 Zn 0.0039 0.5019 0.0063
Zn3 Zn 0.1682 0.3364 0.6409
Ga1 Ga 0.6667 0.3333 0.6384
Cu1 Cu 0.3312 0.1656 0.3211
```

Record 6
A geometry-optimized Zn5GaCu4 structure, computed with PBE-GGA.

Total energy: -0.0965 Ha/atom
Formation energy from the elements: -48 meV per atom
D(E_F): 4.945 states/eV per cell

```
data_Zn5GaCu4
_cell_length_a 13.0384
_cell_length_b 3.9619
_cell_length_c 6.3525
_cell_angle_alpha 90.00
_cell_angle_beta 118.97
_cell_angle_gamma 90.00
_symmetry_space_group_name_H-M 'C 1 2/m 1'
_symmetry_Int_Tables_number 12
loop_
_symmetry_equiv_pos_as_xyz
'x,y,z'
'-x,-y,-z'
'-x,y,-z'
'x,-y,z'
'x+1/2,y+1/2,z'
'-x+1/2,-y+1/2,-z'
'-x+1/2,y+1/2,-z'
'x+1/2,-y+1/2,z'
loop_
_atom_site_label
_atom_site_type_symbol
_atom_site_fract_x
_atom_site_fract_y
_atom_site_fract_z
Zn1 Zn 0.0000 0.0000 0.0000
Zn2 Zn 0.1689 0.5000 0.1243
Zn3 Zn 0.1779 0.5000 0.7315
Ga1 Ga 0.0000 0.0000 0.5000
Cu1 Cu 0.0223 0.5000 0.2786
Cu2 Cu 0.1766 0.0000 0.4289
```

Record 7
A geometry-optimized Zn3GaCu6 structure, computed with PBE-GGA.

Total energy: -0.1167 Ha/atom
Formation energy from the elements: -33 meV per atom
D(E_F): 4.564 states/eV per cell

```
data_Zn3GaCu6
_cell_length_a 9.6492
_cell_length_b 2.6134
_cell_length_c 10.6137
_cell_angle_alpha 90.00
_cell_angle_beta 101.35
_cell_angle_gamma 90.00
_symmetry_space_group_name_H-M 'P 1 21/m 1'
_symmetry_Int_Tables_number 11
loop_
_symmetry_equiv_pos_as_xyz
'x,y,z'
'-x,-y,-z'
'-x,y+1/2,-z'
'x,-y+1/2,z'
loop_
_atom_site_label
_atom_site_type_symbol
_atom_site_fract_x
_atom_site_fract_y
_atom_site_fract_z
Zn1 Zn 0.0812 0.2500 0.1020
Zn2 Zn 0.1289 0.7500 0.4998
Zn3 Zn 0.4183 0.2500 0.9055
Ga1 Ga 0.4570 0.2500 0.2922
Cu1 Cu 0.0094 0.7500 0.6935
Cu2 Cu 0.1546 0.2500 0.8818
Cu3 Cu 0.2309 0.7500 0.3036
Cu4 Cu 0.2786 0.7500 0.7147
Cu5 Cu 0.3086 0.7500 0.0808
Cu6 Cu 0.3748 0.2500 0.5220
```

Record 8
A geometry-optimized ZnGa2Cu5 structure, computed with PBE-GGA.

Total energy: -0.1297 Ha/atom
Formation energy from the elements: -54 meV per atom
D(E_F): 5.129 states/eV per cell

```
data_ZnGa2Cu5
_cell_length_a 3.9195
_cell_length_b 3.9195
_cell_length_c 13.6339
_cell_angle_alpha 90.00
_cell_angle_beta 90.00
_cell_angle_gamma 90.00
_symmetry_space_group_name_H-M 'I 4/m m m'
_symmetry_Int_Tables_number 139
_symmetry_space_group_name_Hall '-I 4 2'
loop_
_atom_site_label
_atom_site_type_symbol
_atom_site_fract_x
_atom_site_fract_y
_atom_site_fract_z
Zn1 Zn 0.0000 0.0000 0.0000
Ga1 Ga 0.0000 0.0000 0.2516
Cu1 Cu 0.0000 0.0000 0.5000
Cu2 Cu 0.0000 0.5000 0.1229
```

Record 9
A geometry-optimized Zn3Ga2Cu7 structure, computed with PBE-GGA.

Total energy: -0.1176 Ha/atom
Formation energy from the elements: 13 meV per atom
D(E_F): 4.047 states/eV per cell

```
data_Zn3Ga2Cu7
_cell_length_a 4.2804
_cell_length_b 18.7572
_cell_length_c 4.2987
_cell_angle_alpha 90.00
_cell_angle_beta 90.00
_cell_angle_gamma 90.00
_symmetry_space_group_name_H-M 'C m m m'
_symmetry_Int_Tables_number 65
_symmetry_space_group_name_Hall '-C 2 2'
loop_
_atom_site_label
_atom_site_type_symbol
_atom_site_fract_x
_atom_site_fract_y
_atom_site_fract_z
Zn1 Zn 0.0000 0.0000 0.0000
Zn2 Zn 0.0000 0.1495 0.0000
Ga1 Ga 0.0000 0.3504 0.5000
Cu1 Cu 0.0000 0.0743 0.5000
Cu2 Cu 0.0000 0.2175 0.5000
Cu3 Cu 0.0000 0.4273 0.0000
Cu4 Cu 0.0000 0.5000 0.5000
```

Record 10
A geometry-optimized Zn3GaCu structure, computed with PBE-GGA.

Total energy: -0.0703 Ha/atom
Formation energy from the elements: 275 meV per atom
D(E_F): 2.032 states/eV per cell

```
data_Zn3GaCu
_cell_length_a 4.6365
_cell_length_b 4.6365
_cell_length_c 4.6365
_cell_angle_alpha 90.00
_cell_angle_beta 90.00
_cell_angle_gamma 90.00
_symmetry_space_group_name_H-M 'P m -3 m'
_symmetry_Int_Tables_number 221
_symmetry_space_group_name_Hall '-P 4 2 3'
loop_
_atom_site_label
_atom_site_type_symbol
_atom_site_fract_x
_atom_site_fract_y
_atom_site_fract_z
Zn1 Zn 0.0000 0.0000 0.5000
Ga1 Ga 0.5000 0.5000 0.5000
Cu1 Cu 0.0000 0.0000 0.0000
```

Record 11
A geometry-optimized Zn2Ga2Cu5 structure, computed with PBE-GGA.

Total energy: -0.1212 Ha/atom
Formation energy from the elements: -67 meV per atom
D(E_F): 5.846 states/eV per cell

```
data_Zn2Ga2Cu5
_cell_length_a 12.3863
_cell_length_b 4.1247
_cell_length_c 5.0726
_cell_angle_alpha 90.00
_cell_angle_beta 107.82
_cell_angle_gamma 90.00
_symmetry_space_group_name_H-M 'C 1 2/m 1'
_symmetry_Int_Tables_number 12
loop_
_symmetry_equiv_pos_as_xyz
'x,y,z'
'-x,-y,-z'
'-x,y,-z'
'x,-y,z'
'x+1/2,y+1/2,z'
'-x+1/2,-y+1/2,-z'
'-x+1/2,y+1/2,-z'
'x+1/2,-y+1/2,z'
loop_
_atom_site_label
_atom_site_type_symbol
_atom_site_fract_x
_atom_site_fract_y
_atom_site_fract_z
Zn1 Zn 0.0847 0.0000 0.3938
Ga1 Ga 0.1653 0.5000 0.7446
Cu1 Cu 0.0000 0.5000 0.0000
Cu2 Cu 0.1135 0.0000 0.9351
Cu3 Cu 0.2080 0.5000 0.2842
```

What did the seventh record say?
A geometry-optimized Zn3GaCu6 structure, computed with PBE-GGA.

Total energy: -0.1167 Ha/atom
Formation energy from the elements: -33 meV per atom
D(E_F): 4.564 states/eV per cell

```
data_Zn3GaCu6
_cell_length_a 9.6492
_cell_length_b 2.6134
_cell_length_c 10.6137
_cell_angle_alpha 90.00
_cell_angle_beta 101.35
_cell_angle_gamma 90.00
_symmetry_space_group_name_H-M 'P 1 21/m 1'
_symmetry_Int_Tables_number 11
loop_
_symmetry_equiv_pos_as_xyz
'x,y,z'
'-x,-y,-z'
'-x,y+1/2,-z'
'x,-y+1/2,z'
loop_
_atom_site_label
_atom_site_type_symbol
_atom_site_fract_x
_atom_site_fract_y
_atom_site_fract_z
Zn1 Zn 0.0812 0.2500 0.1020
Zn2 Zn 0.1289 0.7500 0.4998
Zn3 Zn 0.4183 0.2500 0.9055
Ga1 Ga 0.4570 0.2500 0.2922
Cu1 Cu 0.0094 0.7500 0.6935
Cu2 Cu 0.1546 0.2500 0.8818
Cu3 Cu 0.2309 0.7500 0.3036
Cu4 Cu 0.2786 0.7500 0.7147
Cu5 Cu 0.3086 0.7500 0.0808
Cu6 Cu 0.3748 0.2500 0.5220
```